1.
Compound: BiTePb2
Source: Alexandria via LeMat-Bulk
Functional: PBE
Structure: relaxed

```
BiTePb2
1.0
4.3692 0.0000 0.0000
2.1846 3.7839 0.0000
2.1846 1.2613 8.5851
Bi Te Pb
1 1 2
Direct
0.6638 0.6638 0.0087 Bi
0.4932 0.4932 0.5205 Te
0.0878 0.0878 0.7365 Pb
0.2552 0.2552 0.2344 Pb
```

DOS(E_F)   2.6 states/eV/f.u.
Calculated volume   35.5 Å³/atom
Energy relative to the elements, uncorrected   -5.0 kJ/mol of atoms

***

2.
Compound: La4TaCl
Source: Alexandria via LeMat-Bulk
Functional: PBE
Structure: relaxed

```
La4TaCl
1.0
2.2766 1.4455 5.7656
-3.1866 -1.7741 5.2165
2.3287 -4.5900 3.7447
La Ta Cl
4 1 1
Direct
0.8657 0.3781 0.3781 La
0.3781 0.3781 0.8657 La
0.3781 0.8657 0.3781 La
0.3781 0.3781 0.3781 La
0.7500 0.7500 0.7500 Ta
0.0000 0.0000 0.0000 Cl
```

DOS(E_F)   7.4 states/eV/f.u.
Calculated volume   30.4 Å³/atom
Energy relative to the elements, uncorrected   60.1 kJ/mol of atoms

***

3.
Compound: RbTbTl2Cl6
Source: Alexandria via LeMat-Bulk
Functional: PBE
Structure: relaxed

```
RbTbTl2Cl6
1.0
-6.4979 -2.5411 -3.6969
-5.0915 -4.7238 3.7547
-7.2342 2.9713 2.2346
Rb Tb Tl Cl
1 1 2 6
Direct
0.8124 0.8125 0.5626 Rb
0.3221 0.3221 0.0338 Tb
0.5295 0.5294 0.4116 Tl
0.0217 0.0217 0.9351 Tl
0.5591 0.2062 0.2425 Cl
0.2062 0.9922 0.2424 Cl
0.9920 0.5596 0.2421 Cl
0.4189 0.6642 0.7816 Cl
0.6645 0.1349 0.7819 Cl
0.1353 0.4189 0.7816 Cl
```

DOS(E_F)   0.0 states/eV/f.u.
Calculated volume   36.3 Å³/atom
Energy relative to the elements, uncorrected   -168.6 kJ/mol of atoms

***

4.
Compound: SmGa4Bi
Source: Alexandria via LeMat-Bulk
Functional: PBE
Structure: relaxed

```
SmGa4Bi
1.0
5.6984 0.0000 0.0000
2.8492 4.9349 0.0000
2.8492 1.6450 4.6527
Ga Bi Sm
4 1 1
Direct
0.6248 0.6248 0.1255 Ga
0.6248 0.1255 0.6248 Ga
0.6248 0.6248 0.6248 Ga
0.1255 0.6248 0.6248 Ga
0.0000 0.0000 0.0000 Bi
0.2500 0.2500 0.2500 Sm
```

DOS(E_F)   3.8 states/eV/f.u.
Calculated volume   21.8 Å³/atom
E_form   -0.25 eV per atom

***

5.
Compound: NdIn2Ru
Source: Alexandria via LeMat-Bulk
Functional: PBE
Structure: relaxed

```
NdIn2Ru
1.0
-3.1650 -3.1942 -0.8119
1.1279 -4.4253 0.1551
-1.8794 -2.6646 4.9512
Ru Nd In
1 1 2
Direct
0.5000 0.5000 0.5000 Ru
0.0000 0.0000 0.0000 Nd
0.7815 0.7815 0.6554 In
0.2185 0.2185 0.3446 In
```

DOS(E_F)   2.5 states/eV/f.u.
Calculated volume   24.0 Å³/atom
E_form   -0.15 eV per atom

***

6.
Compound: Sr2NdTl4
Source: Alexandria via LeMat-Bulk
Functional: PBE
Structure: relaxed

```
Sr2NdTl4
1.0
5.3364 0.0000 -1.7011
-0.5423 5.3088 -1.7011
-0.1818 -0.2013 8.6507
Sr Nd Tl
2 1 4
Direct
0.7423 0.7423 0.4845 Sr
0.2577 0.2577 0.5155 Sr
0.0000 0.0000 0.0000 Nd
0.3924 0.8924 0.7848 Tl
0.8924 0.3924 0.7848 Tl
0.6076 0.1076 0.2152 Tl
0.1076 0.6076 0.2152 Tl
```

DOS(E_F)   3.3 states/eV/f.u.
Calculated volume   34.5 Å³/atom
E_form   -0.28 eV per atom